(1)
Tb2Dy2Ag: relaxed, PBE.

The structure belongs to space group I4/mmm (No. 139); the cell edges are 3.5555, 3.5555 and 22.8154 Å and the angles 90.00°, 90.00° and 90.00°. The inequivalent atoms are Tb at (0.0000, 0.0000, 0.1953), Dy at (0.0000, 0.0000, 0.4164) and Ag at (0.0000, 0.0000, 0.0000).

The calculation puts the density of states at the Fermi level at 12.19 states/eV per cell. Its spin magnetization is 0.00 μB per formula unit. As for the energy above the most stable polymorph in this dataset: 0.000 eV/atom. Its volume is 288.4 Å³ per cell. The calculation puts the density at 8.644 g/cm3.

***

(2)
Tb2DyAg2: relaxed, PBE.

The structure belongs to space group P2_1/m (No. 11); the cell edges are 5.2852, 4.9039 and 10.9811 Å and the angles 90.00°, 96.23° and 90.00°. The inequivalent atoms are Tb at (0.1615, 0.2500, 0.1119), Tb at (0.2520, 0.7500, 0.5072), Dy at (0.3005, 0.2500, 0.7588), Ag at (0.2167, 0.2500, 0.3669) and Ag at (0.3582, 0.7500, 0.9918).

The calculation puts the density of states at the Fermi level at 10.16 states/eV per cell. Its spin magnetization is 0.00 μB per formula unit. As for the energy above the most stable polymorph in this dataset: 0.161 eV/atom. Its volume is 282.9 Å³ per cell. The calculation puts the density at 8.171 g/cm3.

***

(3)
TbDy2Ag4: relaxed, PBE.

The structure belongs to space group I4/mmm (No. 139); the cell edges are 7.1823, 7.1823 and 7.0914 Å and the angles 90.00°, 90.00° and 90.00°. The inequivalent atoms are Tb at (0.0000, 0.0000, 0.0000), Dy at (0.0000, 0.5000, 0.0000) and Ag at (0.2500, 0.2500, 0.2500).

The calculation puts the density of states at the Fermi level at 8.20 states/eV per cell. Its spin magnetization is 0.00 μB per formula unit. Its volume is 365.8 Å³ per cell. The calculation puts the density at 8.311 g/cm3.

***

Number 1: final energy -43.65 eV/cell, energy of formation from the pure elements -0.102 eV/atom. Number 2: final energy -39.86 eV/cell, energy of formation from the pure elements -0.073 eV/atom. Number 3: final energy -51.77 eV/cell, energy of formation from the pure elements -0.092 eV/atom.